Entry 1:
Material: NaBrO3
Method: DFT, PBE
State: optimized geometry

E_tot = -4.0312 eV/atom
total magnetic moment = 2.0 μB/f.u.

abc: 6.924 7.850 8.156
angles: 90.00 90.00 90.00
Space group P2_12_12_1 (No. 19)
Inequivalent atoms, fractional coordinates:
Na  0.230  0.012  0.262 (multiplicity 4)
Br  0.069  0.261  0.997 (multiplicity 4)
O  0.036  0.767  0.078 (multiplicity 4)
O  0.051  0.768  0.925 (multiplicity 4)
O  0.175  0.892  0.512 (multiplicity 4)


Entry 2:
Material: LuO3
Method: DFT, PBE
State: optimized geometry

E_tot = -6.6426 eV/atom
total magnetic moment = 0.0 μB/f.u.
energy above the most stable polymorph in this dataset = 0.000 eV/atom

abc: 7.446 7.446 7.446
angles: 90.00 90.00 90.00
Space group Im-3 (No. 204)
Inequivalent atoms, fractional coordinates:
Lu  0.250  0.250  0.250 (multiplicity 8)
O  0.000  0.318  0.099 (multiplicity 24)


Q: The lowest E_tot belongs to which entry?
A: LuO3


Q: E_tot of number 1 (NaBrO3)?
A: -4.0312 eV/atom


Q: The lowest total magnetic moment belongs to which entry?
A: LuO3